SrLi2IrO5 | PBE-GGA | relaxed

Calculated values
SG ... Immm (71)
Final energy ... -52.91 eV/f.u.
Mass density ... 5.78 g/cm³
Crystal system ... orthorhombic
V ... 11.9 Å³/atom
Raw formation energy ... -147.38 kJ/mol of atoms

The structure in POSCAR format:
```
SrLi2IrO5
1.0
-1.9495 2.7571 4.9900
1.9495 -2.7571 4.9900
1.9495 2.7571 -4.9900
Sr Li Ir O
1 2 1 5
Direct
0.0000 0.0000 0.0000
0.2752 0.7752 0.5000
0.7248 0.2248 0.5000
0.5000 0.5000 0.0000
0.1143 0.3643 0.7500
0.3856 0.6357 0.7500
0.5000 0.0000 0.5000
0.6144 0.3643 0.2500
0.8857 0.6357 0.2500
```